Material: KTl2Ir
Method: DFT, SCAN
State: PBEsol geometry

## Properties
* E_tot: -222.69 eV per formula unit
* calculated volume: 96.34 Å³/cell
* space group: No. 166
* E_form: 364 meV/atom
* total moment: 0.00 μB/f.u.
* DOS at the Fermi energy: 1.83 states/eV per cell

abc: 9.990 9.990 9.990
angles: 19.42 19.42 19.42
Fractional coordinates of all 4 atoms:
K 0.000 0.000 0.000
Tl 0.235 0.235 0.235
Tl 0.765 0.765 0.765
Ir 0.500 0.500 0.500